# InPt GGA-PBE optimized geometry
# **N(E_F)**: 0.80 states/eV/f.u.
# **DFT total energy**: -9.73 eV/f.u.
# **Space group**: C2/m, No. 12
# **Formation enthalpy at 0 K**: -0.47 eV per atom
data_InPt
_chemical_formula_sum 'In5 Pt5'
_space_group_name_H-M_alt 'P 1'
_space_group_IT_number 1
_cell_length_a 7.056
_cell_length_b 7.056
_cell_length_c 7.704
_cell_angle_alpha 121.22
_cell_angle_beta 121.22
_cell_angle_gamma 37.02
loop_
_space_group_symop_operation_xyz
'x,y,z'
loop_
_atom_site_label
_atom_site_fract_x
_atom_site_fract_y
_atom_site_fract_z
_atom_site_occupancy
In1 0.000 0.000 0.000 1
In2 0.128 0.128 0.739 1
In3 0.352 0.352 0.655 1
In4 0.648 0.648 0.345 1
In5 0.872 0.872 0.261 1
Pt1 0.240 0.240 0.236 1
Pt2 0.389 0.389 0.056 1
Pt3 0.500 0.500 0.500 1
Pt4 0.611 0.611 0.944 1
Pt5 0.760 0.760 0.764 1